PBE Y3Br, optimized geometry; relative energy among the computed polymorphs = 313 meV/atom; uncorrected formation energy = -243 meV per atom; calculated volume = 121.5 Å³/cell
1.0
3.790 0.000 0.000
0.000 5.247 0.000
-1.802 0.000 6.107
Y Br
3 1
Direct
0.000 0.000 0.000
0.352 0.500 0.737
0.648 0.500 0.263
0.000 0.000 0.500